Sr2ScGaRu (PBE, optimized geometry); crystal system = tetragonal; energy of formation from the pure elements = 0.52 eV/atom; DOS(E_F) = 1.5330 states/eV/atom; V = 160.49 Å³/cell
1.0
5.8692 0.0000 0.0000
0.0000 4.6589 0.0000
0.0000 0.0000 5.8692
Ru Sr Sc Ga
1 2 1 1
Cartesian
0.0000 2.3295 0.0000
0.0000 0.0000 2.9346
2.9346 0.0000 0.0000
2.9346 2.3295 2.9346
0.0000 0.0000 0.0000


Sc2TaGa2Ru5 (PBE, optimized geometry); crystal system = tetragonal; energy of formation from the pure elements = -0.39 eV/atom; DOS(E_F) = 0.8630 states/eV/atom; V = 325.03 Å³/cell
1.0
-1.1702 -1.8286 -2.5100
-3.4964 -6.6312 6.4610
-8.5755 4.9226 0.4116
Ta Ru Sc Ga
2 10 4 4
Cartesian
0.0000 0.0000 0.0000
-6.0359 -0.8543 3.4363
-4.6893 -2.2865 1.6580
-5.5347 -6.1202 4.8452
-7.7073 2.5830 -0.4826
-1.8619 -1.8863 0.0483
-11.3802 -1.6509 4.3142
-2.3333 -4.2299 1.9755
-8.5528 -1.2507 2.7046
-4.8728 1.5470 -1.0492
-6.5177 -0.1230 0.9343
-6.7244 -3.4142 3.4283
-3.4248 0.4983 1.2336
-3.7992 -3.6059 4.3982
-8.2727 1.8973 2.4744
-8.6471 -2.2068 5.6390
-2.4030 -1.8259 2.4505
-9.6688 0.1174 4.4221
-6.2277 -3.9496 5.7807
-5.8442 2.2410 1.0919